Entry 1:
A relaxed LiNb2Pb crystal. Source: OQMD, functional GGA-PBE.

The crystal system is cubic. Its total magnetization is 0.02 μB per formula unit. The calculation puts the electronic total energy at -6.09 eV/atom. The volume is 303.7 Å³ per cell.

It has space group F-43m (No. 216), with a = 6.7220 Å, b = 6.7220 Å, c = 6.7220 Å, α = 90.00°, β = 90.00° and γ = 90.00°. The inequivalent atoms are Li at (0.0000, 0.0000, 0.0000), Nb at (0.0000, 0.0000, 0.5000), Nb at (0.2500, 0.2500, 0.2500) and Pb at (0.2500, 0.2500, 0.7500).

=====

Entry 2:
A relaxed CdS crystal. Source: OQMD, functional GGA-PBE.

The crystal system is cubic. The calculation puts the electronic total energy at -3.16 eV/atom. The volume is 205.8 Å³ per cell.

It has space group F-43m (No. 216), with a = 5.9040 Å, b = 5.9040 Å, c = 5.9040 Å, α = 90.00°, β = 90.00° and γ = 90.00°. The inequivalent atoms are Cd at (0.0000, 0.0000, 0.0000) and S at (0.2500, 0.2500, 0.7500).

=====

Entry 3:
A relaxed Sc2Cu3Mo4C3 crystal. Source: OQMD, functional GGA-PBE.

The crystal system is monoclinic. Its total magnetization is 0.00 μB per formula unit. The calculation puts the electronic total energy at -8.10 eV/atom. The volume is 654.5 Å³ per cell.

It has space group C2/c (No. 15), with a = 9.2408 Å, b = 5.3430 Å, c = 13.6527 Å, α = 90.00°, β = 103.85° and γ = 90.00°. The inequivalent atoms are Sc at (0.0404, 0.0811, 0.3854), Cu at (0.0000, 0.4266, 0.7500), Cu at (0.2428, 0.1557, 0.7522), Mo at (0.1114, 0.4045, 0.5815), Mo at (0.2278, 0.4217, 0.9184), C at (0.0841, 0.2521, 0.9998) and C at (0.2500, 0.2500, 0.5000).